The following is a DFT calculation (SCAN) of a crystal of BaInTc2 relaxed with PBEsol.

Cell lengths 3.484, 5.036, 6.082 Å; angles 90.00, 96.76, 90.00 degrees
Space group P2/m (No. 10)
Inequivalent atoms, fractional coordinates:
Ba 0.000 0.000 0.000 x1
In 0.500 0.000 0.500 x1
Tc 0.277 0.500 0.621 x2

Magnetic moment   0.0 μB per formula unit
Density   7.02 g/cm³
Energy above the most stable polymorph in this dataset   373 meV per atom
E_form   0.522 eV per atom



The following is a DFT calculation (SCAN) of a crystal of Ba2InTc relaxed with PBEsol.

Cell lengths 6.355, 3.600, 10.728 Å; angles 90.00, 100.57, 90.00 degrees
Space group C2/m (No. 12)
Inequivalent atoms, fractional coordinates:
Ba 0.239 0.000 0.212 x4
In 0.000 0.000 0.500 x2
Tc 0.000 0.500 0.000 x2

Magnetic moment   0.0 μB per formula unit
Density   6.71 g/cm³
Energy above the most stable polymorph in this dataset   222 meV per atom
E_form   0.775 eV per atom



Repeat the second record exactly.
The following is a DFT calculation (SCAN) of a crystal of Ba2InTc relaxed with PBEsol.

Cell lengths 6.355, 3.600, 10.728 Å; angles 90.00, 100.57, 90.00 degrees
Space group C2/m (No. 12)
Inequivalent atoms, fractional coordinates:
Ba 0.239 0.000 0.212 x4
In 0.000 0.000 0.500 x2
Tc 0.000 0.500 0.000 x2

Magnetic moment   0.0 μB per formula unit
Density   6.71 g/cm³
Energy above the most stable polymorph in this dataset   222 meV per atom
E_form   0.775 eV per atom